## i
Entry from the Alexandria database: a relaxed Li2RuRh crystal (PBE).

V = 14.76 Å³ per atom

Lattice parameters (Å, degrees): 9.2386 9.2386 9.2386 17.03 17.03 17.03
Fractional coordinates of all 4 atoms:
Li 0.2429 0.2429 0.2429
Li 0.0058 0.0058 0.0058
Rh 0.4975 0.4975 0.4975
Ru 0.7538 0.7538 0.7538

---

## ii
Entry from the Alexandria database: a relaxed Li2RuRh crystal (PBE).

V = 14.09 Å³ per atom

Lattice parameters (Å, degrees): 2.6680 3.9777 5.3116 90.00 90.00 90.00
Fractional coordinates of all 4 atoms:
Li 0.0000 0.0000 0.0157
Li 0.5000 0.5000 0.2357
Rh 0.0000 0.0000 0.5330
Ru 0.5000 0.5000 0.7156

---

## iii
Entry from the Alexandria database: a relaxed Li2RuRh crystal (PBE).

V = 12.79 Å³ per atom

Lattice parameters (Å, degrees): 4.4823 4.4823 2.5459 90.00 90.00 90.00
Last column: magnetic moment on the atom in μB.
Fractional coordinates of all 4 atoms:
Rh 0.5000 0.0000 0.5000  0.61
Li 0.5000 0.5000 0.0000  0.00
Li 0.0000 0.0000 0.0000  0.00
Ru 0.0000 0.5000 0.5000  0.15

---

Stability order, top to bottom: ii, i, iii

---

## i
Entry from the Alexandria database: a relaxed Li2RuRh crystal (PBE).

V = 12.72 Å³ per atom

Lattice parameters (Å, degrees): 4.9085 4.9085 4.9085 146.36 128.29 63.11
Fractional coordinates of all 4 atoms:
Li 0.2432 0.7432 0.5000
Li 0.0096 0.0096 0.0000
Rh 0.4966 0.4966 0.0000
Ru 0.7506 0.2506 0.5000

---

## ii
Entry from the Alexandria database: a relaxed Li2RuRh crystal (PBE).

V = 13.89 Å³ per atom

Lattice parameters (Å, degrees): 4.5886 4.5886 4.7833 83.17 83.17 33.76
Fractional coordinates of all 4 atoms:
Rh 0.5012 0.5012 0.4559
Ru 0.2451 0.2451 0.2952
Li 0.9977 0.9977 0.9702
Li 0.7560 0.7560 0.7788

---

Stability order, top to bottom: ii, i